Arrangement one

# PPtCl

A geometry-optimized PPtCl structure (PBE, the Alexandria database).

POSCAR file:
```
PPtCl
1.0
3.4588 0.0000 0.0000
-1.7294 2.9954 0.0000
0.0000 0.0000 6.7421
P Pt Cl
1 1 1
direct
0.0000 0.0000 0.0000
0.6667 0.3333 0.1871
0.3333 0.6667 0.4357
```

calculated density	6.22	Mg/m³

---

Arrangement two

# PPtCl

A geometry-optimized PPtCl structure (PBE, the Alexandria database).

POSCAR file:
```
PPtCl
1.0
-1.5334 1.5334 6.2278
1.5334 -1.5334 6.2278
1.5334 1.5334 -6.2278
P Pt Cl
1 1 1
direct
0.0000 0.0000 0.0000
0.6005 0.6005 0.0000
0.2489 0.2489 0.0000
```

calculated density	7.41	Mg/m³
D(E_F)	0.39	states/eV/cell

---

Stability check: which of them is least stable? arrangement two.

---

Arrangement one

# Tl2CdRe

A geometry-optimized Tl2CdRe structure (PBE, the Alexandria database).

POSCAR file:
```
Tl2CdRe
1.0
1.5657 -2.5448 0.0000
1.5657 2.5448 0.0000
0.0000 0.0000 11.7077
Tl Cd Re
2 1 1
direct
0.0000 0.0000 0.2181
0.0000 0.0000 0.7819
0.5000 0.5000 0.5000
0.5000 0.5000 0.0000
```

calculated density	12.59	Mg/m³
D(E_F)	2.25	states/eV/cell

---

Arrangement two

# Tl2CdRe

A geometry-optimized Tl2CdRe structure (PBE, the Alexandria database).

POSCAR file:
```
Tl2CdRe
1.0
3.1816 -5.0173 0.0000
3.1816 5.0173 0.0000
-1.4493 0.0000 2.6961
Tl Cd Re
2 1 1
direct
0.0000 0.5000 0.0000
0.5000 0.0000 0.0000
0.0000 0.0000 0.0000
0.5000 0.5000 0.0000
```

calculated density	13.65	Mg/m³
D(E_F)	3.09	states/eV/cell

---

Stability check: which of them is least stable? arrangement two.

---

Arrangement one

# Tc3SnN

A geometry-optimized Tc3SnN structure (PBE, the Alexandria database).

POSCAR file:
```
Tc3SnN
1.0
5.0810 0.0000 0.0000
0.0000 5.5787 0.0000
-0.5694 0.0000 5.1365
Tc Sn N
6 2 2
direct
0.2168 0.0107 0.3788
0.2168 0.4893 0.3788
0.2778 0.7500 0.8384
0.7222 0.2500 0.1616
0.7832 0.5107 0.6212
0.7832 0.9893 0.6212
0.2011 0.2500 0.8880
0.7989 0.7500 0.1120
0.4761 0.7500 0.5325
0.5239 0.2500 0.4675
```

calculated density	9.73	Mg/m³
D(E_F)	2.41	states/eV/cell

---

Arrangement two

# Tc3SnN

A geometry-optimized Tc3SnN structure (PBE, the Alexandria database).

POSCAR file:
```
Tc3SnN
1.0
4.6891 0.0000 0.0000
0.6885 5.3202 0.0000
1.6315 1.5174 6.1249
Tc Sn N
6 2 2
direct
0.0000 0.0000 0.0000
0.1134 0.9752 0.5497
0.3892 0.1476 0.1410
0.5381 0.8400 0.8409
0.7053 0.8090 0.3964
0.8673 0.5035 0.0722
0.2745 0.5408 0.3490
0.7021 0.3480 0.7085
0.1512 0.7271 0.8280
0.9256 0.1485 0.2734
```

calculated density	9.27	Mg/m³
D(E_F)	3.98	states/eV/cell

---

Stability check: which of them is least stable? arrangement two.

---

Arrangement one

# VCr2FeH

A geometry-optimized VCr2FeH structure (PBE, the Alexandria database).

POSCAR file:
```
VCr2FeH
1.0
3.5475 0.0000 0.0000
0.0000 3.5475 0.0000
0.0000 0.0000 3.9891
V Cr Fe H
1 2 1 1
direct
0.0000 0.0000 0.0000
0.0000 0.5000 0.5000
0.5000 0.0000 0.5000
0.5000 0.5000 0.0000
0.0000 0.0000 0.5000
```

calculated density	7.01	Mg/m³
D(E_F)	5.15	states/eV/cell

---

Arrangement two

# VCr2FeH

A geometry-optimized VCr2FeH structure (PBE, the Alexandria database).

POSCAR file:
```
VCr2FeH
1.0
3.9377 0.0000 0.0000
0.0000 3.9377 0.0000
0.0000 0.0000 3.2105
V Cr Fe H
1 2 1 1
direct
0.0000 0.0000 0.0000
0.0000 0.5000 0.5000
0.5000 0.0000 0.5000
0.5000 0.5000 0.0000
0.5000 0.5000 0.5000
```

calculated density	7.06	Mg/m³
D(E_F)	5.95	states/eV/cell

---

Stability check: which of them is least stable? arrangement one.